Record 1
{
  "formula": "KLa2W",
  "functional": "PBE",
  "state": "optimized geometry",
  "lattice_angstrom": [[-6.0051, -0.2231, 0.1319], [1.5932, -2.7678, 5.0921], [-0.0718, 2.8662, 1.5803]],
  "species": ["La", "La", "W", "K"],
  "fractional_positions": [[0.0000, 0.0000, 0.0000], [0.5000, 0.5000, 0.0000], [0.5000, 0.0000, 0.5000], [0.0000, 0.5000, 0.5000]],
  "formation_energy_ev_per_fu": 4.45,
  "de_polymorph_mev_per_atom": 624.9
}


Record 2
{
  "formula": "KLa2W",
  "functional": "PBE",
  "state": "optimized geometry",
  "lattice_angstrom": [[4.7570, 0.0000, 0.0000], [0.0000, 3.5700, -0.0471], [0.0000, 1.2388, 9.5760]],
  "species": ["La", "La", "K", "W"],
  "fractional_positions": [[0.0000, 0.0091, 0.0847], [0.5000, 0.2171, 0.3555], [0.5000, 0.6285, 0.7345], [0.0000, 0.6453, 0.3253]],
  "formation_energy_ev_per_fu": 3.10,
  "de_polymorph_mev_per_atom": 286.7
}


Record 3
{
  "formula": "KLa2W",
  "functional": "PBE",
  "state": "optimized geometry",
  "lattice_angstrom": [[5.6991, 0.0084, 0.1304], [4.7514, 3.1471, 0.1304], [2.5529, 0.7709, 8.7910]],
  "species": ["W", "La", "La", "K"],
  "fractional_positions": [[0.5482, 0.5482, 0.6408], [0.9919, 0.9919, 0.9250], [0.8066, 0.8066, 0.6608], [0.1533, 0.1533, 0.2734]],
  "formation_energy_ev_per_fu": 3.41,
  "de_polymorph_mev_per_atom": 365.1
}


Record 4
{
  "formula": "KLa2W",
  "functional": "PBE",
  "state": "optimized geometry",
  "lattice_angstrom": [[5.6467, -0.0137, -0.0416], [0.3302, 5.6370, 0.0416], [-2.3397, -3.5012, 3.7622]],
  "species": ["W", "La", "La", "K"],
  "fractional_positions": [[0.7500, 0.2500, 0.5000], [0.9604, 0.9604, 0.0000], [0.5396, 0.5396, 0.0000], [0.2500, 0.7500, 0.5000]],
  "formation_energy_ev_per_fu": 3.50,
  "de_polymorph_mev_per_atom": 387.9
}


Record 5
{
  "formula": "KLa3W",
  "functional": "PBE",
  "state": "optimized geometry",
  "lattice_angstrom": [[-5.4247, -1.2805, -1.6354], [1.7461, -5.2884, -1.6510], [-1.1249, -2.0334, 5.3237]],
  "species": ["La", "La", "La", "W", "K"],
  "fractional_positions": [[0.0000, 0.5000, 0.0000], [0.5000, 0.0000, 0.0000], [0.0000, 0.0000, 0.5000], [0.0000, 0.0000, 0.0000], [0.5000, 0.5000, 0.5000]],
  "formation_energy_ev_per_fu": 2.48,
  "de_polymorph_mev_per_atom": 0.0
}


Record 6
{
  "formula": "KLaW2",
  "functional": "PBE",
  "state": "optimized geometry",
  "lattice_angstrom": [[5.8548, 0.0180, 0.0759], [-2.5093, 5.7983, -0.0417], [0.8363, 0.6148, 2.5968]],
  "species": ["La", "W", "W", "K"],
  "fractional_positions": [[0.5000, 0.5000, 0.0000], [0.5000, 0.0000, 0.5000], [0.0000, 0.0000, 0.0000], [0.0000, 0.5000, 0.5000]],
  "formation_energy_ev_per_fu": 5.50,
  "de_polymorph_mev_per_atom": 670.8
}


Ordered density results: 7.223, 5.104, 5.324, 6.924, 5.419, 10.304; unit g cm⁻³.